Record 1
Material: SmHgPb
Method: DFT, GGA-PBE
State: relaxed

Calculated values
- SG = Cmcm, No. 63
- spin magnetization (μB per cell) = 0.0
- formation energy (meV per atom) = -419

a = 4.756 Å, b = 4.652 Å, c = 15.083 Å
α = 90.00°, β = 90.00°, γ = 90.00°
Positions (direct):
Hg: 0.001 0.750 0.746
Pb: 0.500 0.250 0.080
Sm: 0.000 0.750 0.102
Sm: 0.000 0.250 0.898
Pb: 0.000 0.750 0.420
Hg: 0.999 0.250 0.254
Sm: 0.500 0.250 0.398
Hg: 0.501 0.250 0.754
Sm: 0.500 0.750 0.602
Hg: 0.499 0.750 0.246
Pb: 0.500 0.750 0.920
Pb: 0.000 0.250 0.580



Record 2
Material: Sm6Hg5Pb
Method: DFT, GGA-PBE
State: relaxed

Calculated values
- SG = Immm, No. 71
- spin magnetization (μB per cell) = 2.5
- formation energy (meV per atom) = -483

a = 5.381 Å, b = 7.644 Å, c = 9.347 Å
α = 114.14°, β = 106.73°, γ = 90.00°
Positions (direct):
Hg: 0.000 0.500 0.000
Sm: 0.168 0.916 0.337
Sm: 0.500 0.746 0.000
Hg: 0.333 0.333 0.666
Hg: 0.670 0.170 0.340
Sm: 0.832 0.579 0.663
Pb: 0.000 0.000 0.000
Hg: 0.667 0.667 0.334
Sm: 0.832 0.084 0.663
Sm: 0.500 0.254 0.000
Sm: 0.168 0.421 0.337
Hg: 0.330 0.830 0.660



Record 3
Material: Sm6Hg4Pb7
Method: DFT, GGA-PBE
State: relaxed

Calculated values
- SG = Im-3m, No. 229
- spin magnetization (μB per cell) = 0.0
- formation energy (meV per atom) = -163

a = 8.773 Å, b = 8.773 Å, c = 8.773 Å
α = 109.47°, β = 109.47°, γ = 109.47°
Positions (direct):
Hg: 0.500 0.500 0.500
Sm: 0.297 0.297 0.000
Pb: 0.000 0.000 0.000
Pb: 0.750 0.250 0.500
Hg: 0.000 0.000 0.500
Pb: 0.250 0.750 0.500
Pb: 0.750 0.500 0.250
Pb: 0.500 0.750 0.250
Hg: 0.500 0.000 0.000
Pb: 0.250 0.500 0.750
Pb: 0.500 0.250 0.750
Sm: 0.297 0.000 0.297
Sm: 0.000 0.703 0.703
Sm: 0.703 0.703 0.000
Hg: 0.000 0.500 0.000
Sm: 0.000 0.297 0.297
Sm: 0.703 0.000 0.703



Record 4
Material: SmHg4Pb7
Method: DFT, GGA-PBE
State: relaxed

Calculated values
- SG = C2/m, No. 12
- spin magnetization (μB per cell) = 0.0
- formation energy (meV per atom) = 41

a = 6.344 Å, b = 9.401 Å, c = 7.414 Å
α = 70.30°, β = 64.67°, γ = 70.28°
Positions (direct):
Pb: 0.244 0.039 0.474
Hg: 0.264 0.346 0.127
Hg: 0.504 0.329 0.663
Sm: 0.000 0.000 0.000
Pb: 0.740 0.326 0.194
Pb: 0.260 0.674 0.806
Pb: 0.756 0.961 0.526
Pb: 0.500 0.000 0.000
Hg: 0.496 0.671 0.337
Pb: 0.986 0.350 0.678
Hg: 0.736 0.654 0.873
Pb: 0.014 0.650 0.322



Record 5
Material: Sm2HgPb
Method: DFT, GGA-PBE
State: relaxed

Calculated values
- SG = Fm-3m, No. 225
- spin magnetization (μB per cell) = 0.0
- formation energy (meV per atom) = -490

a = 5.437 Å, b = 5.437 Å, c = 5.437 Å
α = 60.00°, β = 60.00°, γ = 60.00°
Positions (direct):
Sm: 0.500 0.500 0.500
Pb: 0.750 0.750 0.750
Sm: 0.000 0.000 0.000
Hg: 0.250 0.250 0.250



Record 6
Material: Sm2Hg9Pb
Method: DFT, GGA-PBE
State: relaxed

Calculated values
- SG = P4/mmm, No. 123
- spin magnetization (μB per cell) = 0.0
- formation energy (meV per atom) = -234

a = 4.655 Å, b = 4.655 Å, c = 14.319 Å
α = 90.00°, β = 90.00°, γ = 90.00°
Positions (direct):
Hg: 0.500 0.000 0.827
Hg: 0.500 0.000 0.173
Sm: 0.000 0.000 0.328
Pb: 0.000 0.000 0.000
Hg: 0.000 0.500 0.827
Hg: 0.000 0.500 0.173
Hg: 0.500 0.500 0.656
Hg: 0.000 0.500 0.500
Sm: 0.000 0.000 0.672
Hg: 0.500 0.000 0.500
Hg: 0.500 0.500 0.000
Hg: 0.500 0.500 0.344



Record 7
Material: Sm4HgPb2
Method: DFT, GGA-PBE
State: relaxed

Calculated values
- SG = P2_1/m, No. 11
- spin magnetization (μB per cell) = 0.0
- formation energy (meV per atom) = -363

a = 5.909 Å, b = 6.671 Å, c = 11.559 Å
α = 90.00°, β = 112.26°, γ = 90.00°
Positions (direct):
Sm: 0.006 0.750 0.880
Sm: 0.401 0.008 0.732
Pb: 0.585 0.750 0.004
Sm: 0.211 0.750 0.443
Hg: 0.904 0.250 0.830
Sm: 0.994 0.250 0.120
Sm: 0.401 0.492 0.732
Sm: 0.789 0.250 0.557
Pb: 0.804 0.750 0.570
Sm: 0.599 0.508 0.268
Hg: 0.096 0.750 0.170
Pb: 0.415 0.250 0.996
Pb: 0.196 0.250 0.430
Sm: 0.599 0.992 0.268



Record 8
Material: SmHgPb3
Method: DFT, GGA-PBE
State: relaxed

Calculated values
- SG = P-1, No. 2
- spin magnetization (μB per cell) = 0.0
- formation energy (meV per atom) = -133

a = 3.575 Å, b = 8.450 Å, c = 11.167 Å
α = 100.51°, β = 90.08°, γ = 114.13°
Positions (direct):
Hg: 0.577 0.588 0.163
Pb: 0.974 0.983 0.764
Pb: 0.026 0.017 0.236
Pb: 0.228 0.221 0.542
Pb: 0.261 0.770 0.979
Sm: 0.895 0.398 0.335
Hg: 0.423 0.412 0.837
Pb: 0.772 0.779 0.458
Pb: 0.739 0.230 0.021
Sm: 0.105 0.602 0.665



Record 9
Material: Sm5Hg2Pb
Method: DFT, GGA-PBE
State: relaxed

Calculated values
- SG = I4/mcm, No. 140
- spin magnetization (μB per cell) = 0.0
- formation energy (meV per atom) = -406

a = 8.511 Å, b = 8.511 Å, c = 8.966 Å
α = 118.33°, β = 118.33°, γ = 90.00°
Positions (direct):
Sm: 0.302 0.802 0.296
Sm: 0.698 0.198 0.704
Sm: 0.494 0.302 0.296
Hg: 0.139 0.361 0.000
Sm: 0.006 0.506 0.704
Sm: 0.198 0.006 0.704
Hg: 0.361 0.861 0.000
Pb: 0.250 0.250 0.500
Hg: 0.861 0.639 0.000
Sm: 0.994 0.494 0.296
Sm: 0.500 0.500 0.000
Sm: 0.802 0.994 0.296
Sm: 0.506 0.698 0.704
Hg: 0.639 0.139 0.000
Pb: 0.750 0.750 0.500
Sm: 0.000 0.000 0.000



Record 10
Material: Sm2HgPb
Method: DFT, GGA-PBE
State: relaxed

Calculated values
- SG = P4/mmm, No. 123
- spin magnetization (μB per cell) = 0.0
- formation energy (meV per atom) = -494

a = 4.241 Å, b = 5.168 Å, c = 5.168 Å
α = 90.00°, β = 90.00°, γ = 90.00°
Positions (direct):
Sm: 0.000 0.500 0.000
Pb: 0.500 0.500 0.500
Hg: 0.500 0.000 0.000
Sm: 0.000 0.000 0.500



Record 11
Material: Sm4Hg3Pb
Method: DFT, GGA-PBE
State: relaxed

Calculated values
- SG = P4/mmm, No. 123
- spin magnetization (μB per cell) = 2.8
- formation energy (meV per atom) = -489

a = 5.403 Å, b = 7.645 Å, c = 10.807 Å
α = 90.00°, β = 90.00°, γ = 90.00°
Positions (direct):
Sm: 0.000 0.755 0.750
Pb: 0.000 0.500 0.500
Sm: 0.000 0.245 0.750
Hg: 0.499 0.500 0.750
Hg: 0.501 0.500 0.250
Pb: 0.000 0.500 0.000
Hg: 0.500 0.000 0.750
Hg: 0.000 0.000 0.500
Sm: 0.500 0.245 0.500
Sm: 0.000 0.245 0.250
Hg: 0.500 0.000 0.250
Sm: 0.500 0.755 0.000
Sm: 0.500 0.245 0.000
Hg: 0.000 0.000 0.000
Sm: 0.500 0.755 0.500
Sm: 0.000 0.755 0.250



Record 12
Material: Sm6Hg8Pb
Method: DFT, GGA-PBE
State: relaxed

Calculated values
- SG = R-3, No. 148
- spin magnetization (μB per cell) = 0.0
- formation energy (meV per atom) = -348

a = 8.224 Å, b = 8.224 Å, c = 8.224 Å
α = 65.57°, β = 65.57°, γ = 65.57°
Positions (direct):
Pb: 0.000 0.000 0.000
Hg: 0.455 0.062 0.814
Hg: 0.301 0.301 0.301
Sm: 0.688 0.126 0.387
Sm: 0.613 0.312 0.874
Hg: 0.545 0.938 0.186
Sm: 0.874 0.613 0.312
Hg: 0.186 0.545 0.938
Hg: 0.062 0.814 0.455
Sm: 0.312 0.874 0.613
Hg: 0.699 0.699 0.699
Hg: 0.814 0.455 0.062
Hg: 0.938 0.186 0.545
Sm: 0.387 0.688 0.126
Sm: 0.126 0.387 0.688



Number 1: DFT total energy -9.985 eV per formula unit. Number 2: DFT total energy -39.334 eV per formula unit. Number 3: DFT total energy -58.247 eV per formula unit. Number 4: DFT total energy -31.395 eV per formula unit. Number 5: DFT total energy -15.410 eV per formula unit. Number 6: DFT total energy -18.670 eV per formula unit. Number 7: DFT total energy -29.134 eV per formula unit. Number 8: DFT total energy -16.809 eV per formula unit. Number 9: DFT total energy -31.155 eV per formula unit. Number 10: DFT total energy -15.423 eV per formula unit. Number 11: DFT total energy -27.406 eV per formula unit. Number 12: DFT total energy -39.660 eV per formula unit.